Entry 1:
CeNdDy5Er2 (PBE, optimized geometry); formation energy = 0.176 eV per atom; E_tot = -4.58 eV per atom
1.0
5.6896 0.0000 0.0000
-2.8448 10.7204 0.0000
0.0000 0.0000 9.5799
Dy Er Nd Ce
10 4 2 2
direct
0.4710 0.9420 0.7458 Dy
0.7335 0.4669 0.8334 Dy
0.0126 0.0252 0.0153 Dy
0.3062 0.6124 0.7158 Dy
0.9874 0.9748 0.5153 Dy
0.2665 0.5331 0.3334 Dy
0.6063 0.2127 0.5400 Dy
0.3937 0.7873 0.0400 Dy
0.5290 0.0580 0.2458 Dy
0.6938 0.3876 0.2158 Dy
0.1367 0.2733 0.7047 Er
0.1132 0.2264 0.3226 Er
0.8633 0.7267 0.2047 Er
0.8868 0.7736 0.8226 Er
0.4033 0.8066 0.4229 Nd
0.5967 0.1934 0.9229 Nd
0.1944 0.3888 0.0235 Ce
0.8056 0.6112 0.5235 Ce

---

Entry 2:
CeNdDyEr (PBE, optimized geometry); formation energy = 0.163 eV per atom; E_tot = -4.80 eV per atom
1.0
5.6800 0.0000 0.0000
2.8400 4.9190 0.0000
2.8400 1.6397 4.6377
Er Dy Nd Ce
1 1 1 1
direct
0.2500 0.2500 0.2500 Er
0.7500 0.7500 0.7500 Dy
0.5000 0.5000 0.5000 Nd
0.0000 0.0000 0.0000 Ce

---

Entry 3:
Ce2Dy3ErP6 (PBE, optimized geometry); formation energy = -1.579 eV per atom; E_tot = -6.80 eV per atom
1.0
6.9701 -0.0011 0.0005
-3.4843 6.0367 0.0005
-1.1627 -2.0132 6.5675
Er Ce Dy P
1 2 3 6
direct
0.0000 0.0000 0.0000 Er
0.3335 0.6665 0.0000 Ce
0.6665 0.3335 0.0000 Ce
0.8329 0.1671 0.5000 Dy
0.1671 0.8329 0.5000 Dy
0.5000 0.5000 0.5000 Dy
0.9167 0.5852 0.7499 P
0.5852 0.9167 0.7499 P
0.2475 0.2475 0.7485 P
0.4148 0.0833 0.2501 P
0.7525 0.7525 0.2515 P
0.0833 0.4148 0.2501 P

---

Entry 4:
Ce3Dy2ErP6 (PBE, optimized geometry); formation energy = -1.558 eV per atom; E_tot = -6.89 eV per atom
1.0
-2.9474 3.9973 -4.9366
-3.8061 -2.2204 5.4423
3.9251 4.8076 3.2049
P Ce Dy Er
6 3 2 1
direct
0.2498 0.2498 0.7537 P
0.0820 0.4139 0.2459 P
0.7502 0.7502 0.2463 P
0.9180 0.5861 0.7541 P
0.5861 0.9180 0.7541 P
0.4139 0.0820 0.2459 P
0.1669 0.8331 0.5000 Ce
0.8331 0.1669 0.5000 Ce
0.5000 0.5000 0.5000 Ce
0.3334 0.6666 0.0000 Dy
0.6666 0.3334 0.0000 Dy
0.0000 0.0000 0.0000 Er

---

Entry 5:
CeDyEr2P4 (PBE, optimized geometry); formation energy = -1.587 eV per atom; E_tot = -6.75 eV per atom
1.0
4.0078 0.0000 0.0000
0.0000 6.9324 0.1248
0.0000 -2.4201 6.4918
P Dy Er Ce
4 1 2 1
direct
0.0000 0.7526 0.2543 P
0.5000 0.7493 0.7474 P
0.5000 0.2507 0.2526 P
0.0000 0.2474 0.7457 P
0.0000 0.0000 0.0000 Dy
0.0000 0.5000 0.5000 Er
0.5000 0.0000 0.5000 Er
0.5000 0.5000 0.0000 Ce

---

Entry 6:
Ce2DyEr3P6 (PBE, optimized geometry); formation energy = -1.577 eV per atom; E_tot = -6.80 eV per atom
1.0
6.9510 -0.0010 0.0007
-3.4747 6.0202 0.0007
-1.1594 -2.0075 6.5400
Ce Er P Dy
2 3 6 1
direct
0.3334 0.6666 0.0000 Ce
0.6666 0.3334 0.0000 Ce
0.8332 0.1668 0.5000 Er
0.1668 0.8332 0.5000 Er
0.5000 0.5000 0.5000 Er
0.5828 0.9155 0.7464 P
0.7524 0.7524 0.2549 P
0.0845 0.4172 0.2536 P
0.2476 0.2476 0.7451 P
0.9155 0.5828 0.7464 P
0.4172 0.0845 0.2536 P
0.0000 0.0000 0.0000 Dy

---

Entry 7:
CeDyErPb (PBE, optimized geometry); formation energy = -0.041 eV per atom; E_tot = -4.74 eV per atom
1.0
5.4229 0.0000 0.0000
2.7114 4.6964 0.0000
2.7114 1.5655 4.4278
Dy Ce Pb Er
1 1 1 1
direct
0.5000 0.5000 0.5000 Dy
0.2500 0.2500 0.2500 Ce
0.7500 0.7500 0.7500 Pb
0.0000 0.0000 0.0000 Er

---

Entry 8:
CePm2Dy5Er (PBE, optimized geometry); formation energy = 0.273 eV per atom; E_tot = -4.51 eV per atom
1.0
8.5370 0.0000 0.0000
0.0000 8.5370 0.0000
-4.2685 -4.2685 7.8564
Dy Ce Er Pm
10 2 2 4
direct
0.1554 0.0612 0.7166 Dy
0.5000 0.5000 0.0000 Dy
0.8446 0.9388 0.2834 Dy
0.3446 0.8446 0.2834 Dy
0.0000 0.0000 0.0000 Dy
0.4388 0.3446 0.2834 Dy
0.9388 0.4388 0.2834 Dy
0.6554 0.1554 0.7166 Dy
0.5612 0.6554 0.7166 Dy
0.0612 0.5612 0.7166 Dy
0.2500 0.7500 0.5000 Ce
0.7500 0.2500 0.5000 Ce
0.7500 0.7500 0.5000 Er
0.2500 0.2500 0.5000 Er
0.6215 0.1215 0.0000 Pm
0.8785 0.6215 0.0000 Pm
0.1215 0.3785 0.0000 Pm
0.3785 0.8785 0.0000 Pm

---

Entry 9:
CePm2DyEr5 (PBE, optimized geometry); formation energy = 0.274 eV per atom; E_tot = -4.49 eV per atom
1.0
8.5584 0.0000 0.0000
0.0000 8.5584 0.0000
-4.2792 -4.2792 7.7430
Dy Er Pm Ce
2 10 4 2
direct
0.7500 0.7500 0.5000 Dy
0.2500 0.2500 0.5000 Dy
0.8450 0.9354 0.2804 Er
0.5000 0.5000 0.0000 Er
0.5646 0.6550 0.7196 Er
0.4354 0.3450 0.2804 Er
0.3450 0.8450 0.2804 Er
0.0000 0.0000 0.0000 Er
0.6550 0.1550 0.7196 Er
0.0646 0.5646 0.7196 Er
0.9354 0.4354 0.2804 Er
0.1550 0.0646 0.7196 Er
0.3803 0.8803 0.0000 Pm
0.8803 0.6197 0.0000 Pm
0.1197 0.3803 0.0000 Pm
0.6197 0.1197 0.0000 Pm
0.2500 0.7500 0.5000 Ce
0.7500 0.2500 0.5000 Ce

---

Entry 10:
Ce2Pm3DyEr6 (PBE, optimized geometry); formation energy = 0.044 eV per atom; E_tot = -4.80 eV per atom
1.0
6.1492 0.0001 -0.0195
-3.0730 5.3263 -0.0195
-0.9878 -1.7104 11.5141
Pm Er Ce Dy
3 6 2 1
direct
0.1659 0.8341 0.5000 Pm
0.5000 0.5000 0.5000 Pm
0.8341 0.1659 0.5000 Pm
0.2527 0.2527 0.7534 Er
0.9173 0.5819 0.7535 Er
0.0827 0.4181 0.2465 Er
0.5819 0.9173 0.7535 Er
0.4181 0.0827 0.2465 Er
0.7473 0.7473 0.2466 Er
0.6664 0.3336 0.0000 Ce
0.3336 0.6664 0.0000 Ce
0.0000 0.0000 0.0000 Dy

---

Entry 11:
Ce2PmDy3Er6 (PBE, optimized geometry); formation energy = 0.048 eV per atom; E_tot = -4.77 eV per atom
1.0
6.1111 -0.0004 0.0066
-3.0544 5.2931 0.0066
-1.0312 -1.7855 11.4781
Er Dy Pm Ce
6 3 1 2
direct
0.7480 0.7480 0.2500 Er
0.4197 0.0839 0.2500 Er
0.9161 0.5803 0.7500 Er
0.2520 0.2520 0.7500 Er
0.5803 0.9161 0.7500 Er
0.0839 0.4197 0.2500 Er
0.5000 0.5000 0.5000 Dy
0.1662 0.8338 0.5000 Dy
0.8338 0.1662 0.5000 Dy
0.0000 0.0000 0.0000 Pm
0.6667 0.3333 0.0000 Ce
0.3333 0.6667 0.0000 Ce

---

Entry 12:
CePm2Dy4Er (PBE, optimized geometry); formation energy = 0.039 eV per atom; E_tot = -4.76 eV per atom
1.0
3.5644 0.0000 0.0000
0.0001 11.6612 -1.7969
0.0000 1.9966 5.8272
Dy Pm Ce Er
4 2 1 1
direct
0.5000 0.7454 0.2551 Dy
0.0000 0.2534 0.2511 Dy
0.0000 0.7466 0.7489 Dy
0.5000 0.2546 0.7449 Dy
0.0000 0.0000 0.0000 Pm
0.5000 0.0000 0.5000 Pm
0.0000 0.5000 0.5000 Ce
0.5000 0.5000 0.0000 Er